First-principles (PBE) data for a relaxed structure of Gd2HgRh, as listed in Alexandria via LeMat-Bulk.

ΔH_f (0 K): -588 meV/atom
total energy: -9.5417 eV/atom
theoretical density: 9.58 g/cm³
energy above the lowest structure with this stoichiometry: 68 meV per atom

a b c (Å): 3.9771 3.9771 23.4533
angles (deg): 90.00 90.00 120.00
Space group R-3m (No. 166, hexagonal axes)
Inequivalent atoms, fractional coordinates:
Gd1 0.0000 0.0000 0.2346 x6
Hg1 0.0000 0.0000 0.0000 x3
Rh1 0.0000 0.0000 0.5000 x3



First-principles (PBE) data for a relaxed structure of LiLa2PdRh, as listed in Alexandria via LeMat-Bulk.

ΔH_f (0 K): -644 meV/atom
total energy: -5.5063 eV/atom
theoretical density: 6.83 g/cm³
energy above the lowest structure with this stoichiometry: 0 meV per atom

a b c (Å): 4.160 4.160 13.885
angles (deg): 90.00 90.00 90.00
Space group P4/nmm (No. 129, origin choice 2)
Inequivalent atoms, fractional coordinates:
Li1 0.250 0.750 0.000 x2
La1 0.250 0.250 0.195 x2
La2 0.250 0.250 0.609 x2
Pd1 0.250 0.250 0.861 x2
Rh1 0.250 0.250 0.390 x2



First-principles (PBE) data for a relaxed structure of Pm2Rh2Au, as listed in Alexandria via LeMat-Bulk.

ΔH_f (0 K): -716 meV/atom
total energy: -6.2127 eV/atom
theoretical density: 10.26 g/cm³
energy above the lowest structure with this stoichiometry: 11 meV per atom

a b c (Å): 3.988 14.526 3.870
angles (deg): 90.00 90.00 90.00
Space group Cmmm (No. 65)
Inequivalent atoms, fractional coordinates:
Pm1 0.000 0.133 0.000 x4
Rh1 0.000 0.310 0.500 x4
Au1 0.000 0.500 0.500 x2



First-principles (PBE) data for a relaxed structure of BaCd2F, as listed in Alexandria via LeMat-Bulk.

total energy: -2.5808 eV/atom
theoretical density: 4.82 g/cm³
raw formation energy: -4.70 eV/f.u.
energy above the lowest structure with this stoichiometry: 0 meV per atom

a b c (Å): 10.147 10.147 5.098
angles (deg): 90.00 90.00 90.00
Space group I-42d (No. 122)
Inequivalent atoms, fractional coordinates:
Ba1 0.000 0.000 0.000 x4
Cd1 0.189 0.250 0.625 x8
F1 0.000 0.000 0.500 x4



First-principles (PBE) data for a relaxed structure of In2TcAs, as listed in Alexandria via LeMat-Bulk.

ΔH_f (0 K): 464 meV/atom
total energy: -4.6592 eV/atom
theoretical density: 8.56 g/cm³

a b c (Å): 3.670 4.371 4.867
angles (deg): 90.00 90.00 90.00
Space group Pmmm (No. 47)
Inequivalent atoms, fractional coordinates:
In1 0.000 0.000 0.000 x1
In2 0.500 0.000 0.500 x1
Tc1 0.000 0.500 0.500 x1
As1 0.500 0.500 0.000 x1



First-principles (PBE) data for a relaxed structure of LiPmIn4O8, as listed in Alexandria via LeMat-Bulk.

total energy: -5.9765 eV/atom
theoretical density: 6.19 g/cm³
raw formation energy: -26.39 eV/f.u.

a b c (Å): 6.6034 6.6034 15.7595
angles (deg): 90.00 90.00 120.00
Space group R3m (No. 160, hexagonal axes)
Inequivalent atoms, fractional coordinates:
Li1 0.0000 0.0000 0.0000 x3
Pm1 0.0000 0.0000 0.3757 x3
In1 0.0000 0.0000 0.6120 x3
In2 0.1678 0.3357 0.8269 x9
O1 0.0000 0.0000 0.2340 x3
O2 0.0000 0.0000 0.7485 x3
O3 0.0352 0.5176 0.7506 x9
O4 0.1758 0.3516 0.5698 x9



The lowest total energy belongs to which entry? Gd2HgRh



theoretical density of number 3 (Pm2Rh2Au)? 10.26 g/cm³



Repeat the fourth record exactly.
First-principles (PBE) data for a relaxed structure of BaCd2F, as listed in Alexandria via LeMat-Bulk.

total energy: -2.5808 eV/atom
theoretical density: 4.82 g/cm³
raw formation energy: -4.70 eV/f.u.
energy above the lowest structure with this stoichiometry: 0 meV per atom

a b c (Å): 10.147 10.147 5.098
angles (deg): 90.00 90.00 90.00
Space group I-42d (No. 122)
Inequivalent atoms, fractional coordinates:
Ba1 0.000 0.000 0.000 x4
Cd1 0.189 0.250 0.625 x8
F1 0.000 0.000 0.500 x4



Copy entry 1 word for word.
First-principles (PBE) data for a relaxed structure of Gd2HgRh, as listed in Alexandria via LeMat-Bulk.

ΔH_f (0 K): -588 meV/atom
total energy: -9.5417 eV/atom
theoretical density: 9.58 g/cm³
energy above the lowest structure with this stoichiometry: 68 meV per atom

a b c (Å): 3.9771 3.9771 23.4533
angles (deg): 90.00 90.00 120.00
Space group R-3m (No. 166, hexagonal axes)
Inequivalent atoms, fractional coordinates:
Gd1 0.0000 0.0000 0.2346 x6
Hg1 0.0000 0.0000 0.0000 x3
Rh1 0.0000 0.0000 0.5000 x3